Entry 1:
BeSi2Te | the Alexandria database | PBEsol | relaxed; symmetry = No. 6; offset from the most stable computed form = 0.0477 eV/atom
1.0
3.749 0.000 0.000
0.000 3.664 0.000
-0.102 0.000 5.473
Be Si Te
1 2 1
Cartesian
0.000 0.000 0.000 Be
1.837 0.000 1.460 Si
1.946 1.832 5.468 Si
0.192 1.832 3.554 Te

Entry 2:
BeSi2Te | the Alexandria database | PBEsol | relaxed; symmetry = No. 65; offset from the most stable computed form = 0.1968 eV/atom
1.0
1.866 -2.246 0.000
1.866 2.246 0.000
0.000 0.000 8.210
Be Si Te
1 2 1
Cartesian
0.000 0.000 0.000 Be
1.866 0.000 1.367 Si
1.866 0.000 6.844 Si
0.000 0.000 4.105 Te

Entry 3:
BeSi2Te | the Alexandria database | PBEsol | relaxed; symmetry = No. 123; offset from the most stable computed form = 0.2389 eV/atom
1.0
3.552 0.000 0.000
0.000 3.552 0.000
0.000 0.000 5.504
Be Si Te
1 2 1
Cartesian
0.000 0.000 0.000 Be
0.000 1.776 2.752 Si
1.776 0.000 2.752 Si
1.776 1.776 0.000 Te

Entry 4:
BeSiTe2 | the Alexandria database | PBEsol | relaxed; symmetry = No. 65; offset from the most stable computed form = 0.3219 eV/atom
1.0
1.887 -3.140 0.000
1.887 3.140 0.000
0.000 0.000 7.465
Be Si Te
1 1 2
Cartesian
0.000 0.000 0.000 Be
0.000 0.000 3.733 Si
1.887 0.000 1.690 Te
1.887 0.000 5.776 Te

Entry 5:
BeSi2Te | the Alexandria database | PBEsol | relaxed; symmetry = No. 160; offset from the most stable computed form = 0.0000 eV/atom
1.0
1.858 1.073 5.879
-1.858 1.073 5.879
0.000 -2.146 5.879
Be Si Te
1 2 1
Cartesian
0.000 0.000 0.000 Be
0.000 0.000 4.509 Si
0.000 0.000 9.294 Si
0.000 0.000 13.109 Te

Entry 6:
TiBe3Si | the Alexandria database | PBEsol | relaxed; symmetry = No. 221
1.0
4.037 0.000 0.000
0.000 4.037 0.000
0.000 0.000 4.037
Ti Be Si
1 3 1
Cartesian
0.000 0.000 0.000 Ti
0.000 2.018 2.018 Be
2.018 0.000 2.018 Be
2.018 2.018 0.000 Be
2.018 2.018 2.018 Si

Entry 7:
Ti3BeSi | the Alexandria database | PBEsol | relaxed; symmetry = No. 221; offset from the most stable computed form = 0.0000 eV/atom
1.0
4.247 0.000 0.000
0.000 4.247 0.000
0.000 0.000 4.247
Ti Be Si
3 1 1
Cartesian
0.000 0.000 2.123 Ti
0.000 2.123 0.000 Ti
2.123 0.000 0.000 Ti
0.000 0.000 0.000 Be
2.123 2.123 2.123 Si

Entry 8:
BeTlSi | the Alexandria database | PBEsol | relaxed; symmetry = No. 216; offset from the most stable computed form = 0.1029 eV/atom
1.0
0.000 2.978 2.978
2.978 0.000 2.978
2.978 2.978 0.000
Be Tl Si
1 1 1
Cartesian
0.000 0.000 0.000 Be
1.489 1.489 1.489 Tl
4.467 4.467 4.467 Si

Entry 9:
BeTlSi | the Alexandria database | PBEsol | relaxed; symmetry = No. 187; offset from the most stable computed form = 0.0000 eV/atom
1.0
3.903 0.000 0.000
-1.951 3.380 0.000
0.000 0.000 4.146
Be Tl Si
1 1 1
Cartesian
0.000 0.000 0.000 Be
1.951 1.127 2.073 Tl
0.000 2.253 0.000 Si

Entry 10:
Be2TlSi | the Alexandria database | PBEsol | relaxed; symmetry = No. 71; offset from the most stable computed form = 0.1570 eV/atom
1.0
-1.899 2.774 3.095
1.899 -2.774 3.095
1.899 2.774 -3.095
Be Tl Si
2 1 1
Cartesian
0.000 0.000 1.133 Be
0.000 0.000 5.056 Be
0.000 2.774 0.000 Tl
1.899 0.000 0.000 Si

Entry 11:
BeTlSi2 | the Alexandria database | PBEsol | relaxed; symmetry = No. 123
1.0
3.629 0.000 0.000
0.000 3.629 0.000
0.000 0.000 5.130
Be Tl Si
1 1 2
Cartesian
0.000 0.000 0.000 Be
1.814 1.814 0.000 Tl
0.000 1.814 2.565 Si
1.814 0.000 2.565 Si

Entry 12:
Be2TlSi | the Alexandria database | PBEsol | relaxed; symmetry = No. 122; offset from the most stable computed form = 0.0000 eV/atom
1.0
-2.110 2.110 7.336
2.110 -2.110 7.336
2.110 2.110 -7.336
Be Tl Si
4 2 2
Cartesian
3.166 0.528 -1.834 Be
0.528 1.055 1.834 Be
-1.055 1.582 5.502 Be
1.582 1.055 9.171 Be
2.110 0.000 3.668 Tl
0.000 0.000 7.336 Tl
0.000 0.000 0.000 Si
0.000 2.110 3.668 Si

Number 1: E_form (uncorrected) 336 meV/atom. Number 2: E_form (uncorrected) 485 meV/atom. Number 3: E_form (uncorrected) 527 meV/atom. Number 4: E_form (uncorrected) 460 meV/atom. Number 5: E_form (uncorrected) 288 meV/atom. Number 6: E_form (uncorrected) 783 meV/atom. Number 7: E_form (uncorrected) 103 meV/atom. Number 8: E_form (uncorrected) 511 meV/atom. Number 9: E_form (uncorrected) 408 meV/atom. Number 10: E_form (uncorrected) 657 meV/atom. Number 11: E_form (uncorrected) 659 meV/atom. Number 12: E_form (uncorrected) 500 meV/atom.